SrYGaPd | PBE | optimized geometry

Cell lengths 5.193, 5.193, 5.193 Å; angles 60.00, 60.00, 60.00 degrees
Atoms (fractional coordinates):
Y: 0.750 0.750 0.750
Sr: 0.250 0.250 0.250
Ga: 0.500 0.500 0.500
Pd: 0.000 0.000 0.000

* mass density: 5.914 g/cm3
* ΔE_f: -0.491 eV per atom